Record 1
Computed, not measured: a relaxed Li8CdPb2 crystal at the GGA-PBE level of DFT.

Cell lengths 7.7822, 14.1461, 4.8757 Å; angles 90.00, 126.77, 90.00 degrees
Space group C2/m (No. 12)
One atom of each set of equivalent atoms:
Li1 0.0000 0.2022 0.0000 (multiplicity 4)
Li2 0.0860 0.5000 0.8074 (multiplicity 4)
Li3 0.2280 0.1339 0.7024 (multiplicity 8)
Cd1 0.0000 0.0000 0.0000 (multiplicity 2)
Pb1 0.0000 0.3178 0.5000 (multiplicity 4)

Summary:
Formation enthalpy at 0 K   -2.22 eV/f.u.
E above lowest polymorph   0.038 eV per atom


Record 2
Computed, not measured: a relaxed VCoTe2 crystal at the GGA-PBE level of DFT.

Cell lengths 5.9560, 5.9560, 11.9835 Å; angles 90.00, 90.00, 90.00 degrees
Space group I-42d (No. 122)
One atom of each set of equivalent atoms:
V1 0.0000 0.0000 0.0000 (multiplicity 4)
Co1 0.0000 0.0000 0.5000 (multiplicity 4)
Te1 0.2265 0.2500 0.6250 (multiplicity 8)

Summary:
E   -87.150 eV per cell


Record 3
Computed, not measured: a relaxed BaCaAl2Au2 crystal at the GGA-PBE level of DFT.

Cell lengths 4.6489, 4.6489, 8.2073 Å; angles 90.00, 90.00, 120.00 degrees
Space group P-3m1 (No. 164)
One atom of each set of equivalent atoms:
Ba1 0.0000 0.0000 0.0000 (multiplicity 1)
Ca1 0.0000 0.0000 0.5000 (multiplicity 1)
Al1 0.3333 0.6667 0.3050 (multiplicity 2)
Au1 0.3333 0.6667 0.6957 (multiplicity 2)

Summary:
Formation enthalpy at 0 K   -3.55 eV/f.u.


Record 4
Computed, not measured: a relaxed BaIr2Cl crystal at the GGA-PBE level of DFT.

Cell lengths 3.0804, 3.0804, 28.8552 Å; angles 90.00, 90.00, 120.00 degrees
Space group R-3m (No. 166, hexagonal axes)
One atom of each set of equivalent atoms:
Ba1 0.0000 0.0000 0.0000 (multiplicity 3)
Ir1 0.0000 0.0000 0.2354 (multiplicity 6)
Cl1 0.0000 0.0000 0.5000 (multiplicity 3)

Summary:
E above lowest polymorph   1.393 eV per atom


Record 5
Computed, not measured: a relaxed Ho3Er2ThTe6 crystal at the GGA-PBE level of DFT.

Cell lengths 19.2871, 4.2918, 8.8305 Å; angles 90.00, 105.97, 90.00 degrees
Space group C2/m (No. 12)
One atom of each set of equivalent atoms:
Ho1 0.0000 0.0000 0.0000 (multiplicity 2)
Ho2 0.1596 0.5000 0.3227 (multiplicity 4)
Er1 0.1582 0.5000 0.8125 (multiplicity 4)
Th1 0.0000 0.0000 0.5000 (multiplicity 2)
Te1 0.9998 0.5000 0.2380 (multiplicity 4)
Te2 0.1710 0.0000 0.0746 (multiplicity 4)
Te3 0.1735 0.0000 0.5778 (multiplicity 4)

Summary:
E   -126.790 eV per cell


Record 6
Computed, not measured: a relaxed TbHo2HgC crystal at the GGA-PBE level of DFT.

Cell lengths 4.8601, 4.8601, 4.9579 Å; angles 90.00, 90.00, 90.00 degrees
Space group P4/mmm (No. 123)
One atom of each set of equivalent atoms:
Tb1 0.0000 0.0000 0.0000 (multiplicity 1)
Ho1 0.0000 0.5000 0.5000 (multiplicity 2)
Hg1 0.5000 0.5000 0.0000 (multiplicity 1)
C1 0.0000 0.0000 0.5000 (multiplicity 1)

Summary:
Formation enthalpy at 0 K   -1.86 eV/f.u.


Record 7
Computed, not measured: a relaxed Dy5Te2Ir2 crystal at the GGA-PBE level of DFT.

Cell lengths 15.6268, 7.8085, 7.7717 Å; angles 90.00, 90.00, 90.00 degrees
Space group Cmce (No. 64)
One atom of each set of equivalent atoms:
Dy1 0.0000 0.0000 0.0000 (multiplicity 4)
Dy2 0.1160 0.1598 0.3418 (multiplicity 16)
Te1 0.2096 0.0000 0.0000 (multiplicity 8)
Ir1 0.0000 0.1392 0.6377 (multiplicity 8)

Summary:
E   -226.461 eV per cell


Record 8
Computed, not measured: a relaxed CdSi2Rh crystal at the GGA-PBE level of DFT.

Cell lengths 3.6420, 4.1256, 5.4604 Å; angles 86.34, 89.48, 63.82 degrees
Space group P-1 (No. 2)
One atom of each set of equivalent atoms:
Cd1 0.0000 0.0000 0.0000 (multiplicity 1)
Si1 0.3041 0.3960 0.3482 (multiplicity 2)
Rh1 0.0000 0.0000 0.5000 (multiplicity 1)

Summary:
E   -19.800 eV per cell


Record 9
Computed, not measured: a relaxed K3Sr crystal at the GGA-PBE level of DFT.

Cell lengths 9.1162, 9.1162, 7.5060 Å; angles 90.00, 90.00, 120.00 degrees
Space group P6_3/mmc (No. 194)
One atom of each set of equivalent atoms:
K1 0.1683 0.3366 0.2500 (multiplicity 6)
Sr1 0.3333 0.6667 0.7500 (multiplicity 2)

Summary:
Formation enthalpy at 0 K   0.42 eV/f.u.
E above lowest polymorph   0.048 eV per atom


Record 10
Computed, not measured: a relaxed Tb2PrSb2 crystal at the GGA-PBE level of DFT.

Cell lengths 6.4092, 6.4567, 7.9361 Å; angles 90.00, 113.72, 90.00 degrees
Space group C2/m (No. 12)
One atom of each set of equivalent atoms:
Tb1 0.0000 0.2492 0.0000 (multiplicity 4)
Pr1 0.0000 0.5000 0.5000 (multiplicity 2)
Sb1 0.1050 0.0000 0.7074 (multiplicity 4)

Summary:
E   -51.633 eV per cell


Record 11
Computed, not measured: a relaxed Tl2Pd2Se crystal at the GGA-PBE level of DFT.

Cell lengths 3.8459, 3.8459, 15.3014 Å; angles 90.00, 90.00, 90.00 degrees
Space group I4/mmm (No. 139)
One atom of each set of equivalent atoms:
Tl1 0.0000 0.0000 0.1094 (multiplicity 4)
Pd1 0.0000 0.5000 0.2500 (multiplicity 4)
Se1 0.0000 0.0000 0.5000 (multiplicity 2)

Summary:
E above lowest polymorph   0.092 eV per atom


Record 12
Computed, not measured: a relaxed RbCdHg2 crystal at the GGA-PBE level of DFT.

Cell lengths 5.1697, 5.1697, 18.0462 Å; angles 90.00, 90.00, 120.00 degrees
Space group R-3m (No. 166, hexagonal axes)
One atom of each set of equivalent atoms:
Rb1 0.0000 0.0000 0.0000 (multiplicity 3)
Cd1 0.0000 0.0000 0.5000 (multiplicity 3)
Hg1 0.0000 0.0000 0.2057 (multiplicity 6)

Summary:
Formation enthalpy at 0 K   -0.58 eV/f.u.


These records have calculated volume values of 215, 106, 154, 79, 351, 117, 237, 73, 270, 150, 113, 139 Å³/f.u., in the order they appear.